Material: Pu2AgHg6
Method: DFT, PBE
State: optimized geometry

ΔE_f (eV per atom): -0.0418
Crystal system: triclinic
V (Å³ per cell): 220
Magnetic moment (μB/cell): 11.78
Symmetry: P-1

a b c (Å): 6.041 6.047 6.061
angles (deg): 93.98 93.80 93.82
Element x y z (fractional)
Pu: 0.167 0.167 0.167
Pu: 0.833 0.833 0.833
Ag: 0.500 0.500 0.500
Hg: 0.000 0.335 0.665
Hg: 0.000 0.665 0.335
Hg: 0.335 0.665 0.000
Hg: 0.335 0.999 0.664
Hg: 0.665 0.001 0.336
Hg: 0.665 0.335 0.000

=====

Material: PuAgHg3
Method: DFT, PBE
State: optimized geometry

ΔE_f (eV per atom): 0.0533
Crystal system: orthorhombic
V (Å³ per cell): 521
Magnetic moment (μB/cell): 24.39
Symmetry: Pnma

a b c (Å): 5.482 8.212 11.585
angles (deg): 90.00 90.00 90.00
Element x y z (fractional)
Pu: 0.025 0.250 0.032
Pu: 0.475 0.750 0.532
Pu: 0.525 0.250 0.468
Pu: 0.975 0.750 0.968
Ag: 0.000 0.000 0.500
Ag: 0.000 0.500 0.500
Ag: 0.500 0.000 0.000
Ag: 0.500 0.500 0.000
Hg: 0.032 0.250 0.323
Hg: 0.163 0.568 0.193
Hg: 0.163 0.932 0.193
Hg: 0.337 0.068 0.693
Hg: 0.337 0.432 0.693
Hg: 0.468 0.750 0.823
Hg: 0.532 0.250 0.177
Hg: 0.663 0.568 0.307
Hg: 0.663 0.932 0.307
Hg: 0.837 0.068 0.807
Hg: 0.837 0.432 0.807
Hg: 0.968 0.750 0.677